Entry from Alexandria via LeMat-Bulk: a geometry-optimized BaNiRu2 structure (PBE).

DFT formation energy: 1103 meV/atom
E above lowest polymorph: 857 meV/atom
density: 8.98 g/cm3

```
data_BaNiRu2
_chemical_formula_sum 'Ba4 Ni4 Ru8'
_cell_length_a 6.6520
_cell_length_b 6.6520
_cell_length_c 6.6520
_cell_angle_alpha 90.00
_cell_angle_beta 90.00
_cell_angle_gamma 90.00
_space_group_name_H-M_alt 'F m -3 m'
_space_group_IT_number 225
_space_group_name_Hall '-F 4 2 3'
loop_
_atom_site_label
_atom_site_type_symbol
_atom_site_fract_x
_atom_site_fract_y
_atom_site_fract_z
Ba1 Ba 0.0000 0.0000 0.0000
Ni1 Ni 0.0000 0.0000 0.5000
Ru1 Ru 0.2500 0.2500 0.2500
```